(1)
Computed, not measured: a geometry-optimized Ti2GaAs structure at the PBE level of DFT.

Cell lengths 3.4326, 3.4326, 20.9444 Å; angles 90.00, 90.00, 120.00 degrees
Space group R3m (No. 160, hexagonal axes)
One atom of each set of equivalent atoms:
Ti 0.0000 0.0000 0.0000 [3 per cell]
Ti 0.0000 0.0000 0.1867 [3 per cell]
Ga 0.0000 0.0000 0.4257 [3 per cell]
As 0.0000 0.0000 0.5941 [3 per cell]

Output
Energy   -6.36 eV per atom
Formation energy from the elements   -0.492 eV/atom

***

(2)
Computed, not measured: a geometry-optimized TiTlGaAs2 structure at the PBE level of DFT.

Cell lengths 4.896, 4.896, 5.482 Å; angles 90.00, 90.00, 90.00 degrees
Space group P4/mmm (No. 123)
One atom of each set of equivalent atoms:
Ti 0.000 0.000 0.000 [1 per cell]
Tl 0.000 0.000 0.500 [1 per cell]
Ga 0.500 0.500 0.500 [1 per cell]
As 0.000 0.500 0.000 [2 per cell]

Output
Energy   -4.41 eV per atom
Formation energy from the elements   0.105 eV/atom

***

(3)
Computed, not measured: a geometry-optimized Tl2GaAs structure at the PBE level of DFT.

Cell lengths 6.723, 6.723, 11.751 Å; angles 90.00, 90.00, 90.00 degrees
Space group I-42d (No. 122)
One atom of each set of equivalent atoms:
Tl 0.244 0.250 0.125 [8 per cell]
Ga 0.000 0.000 0.500 [4 per cell]
As 0.000 0.000 0.000 [4 per cell]

Output
Energy   -2.85 eV per atom
Formation energy from the elements   0.254 eV/atom